[1]
Co2Ir9Rh | PBE | optimized geometry

The value obtained for the formation energy from the elements is 0.32 eV per formula unit.

The structure belongs to space group P4/mmm (No. 123); the cell edges are 3.818, 3.818 and 11.442 Å and the angles 90.00°, 90.00° and 90.00°. The asymmetric unit holds Co at (0.000, 0.000, 0.164), Ir at (0.000, 0.500, 0.000), Ir at (0.000, 0.500, 0.330), Ir at (0.500, 0.500, 0.165), Ir at (0.500, 0.500, 0.500) and Rh at (0.000, 0.000, 0.500).

---

[2]
Co2Ir2Rh7 | PBE | optimized geometry

The calculation puts the energy above the lowest structure with this stoichiometry at 0 meV/atom. The value obtained for the formation energy from the elements is 2.19 eV per formula unit.

The structure belongs to space group Immm (No. 71); the cell edges are 3.758, 7.789 and 10.808 Å and the angles 90.00°, 90.00° and 90.00°. The asymmetric unit holds Co at (0.000, 0.233, 0.000), Ir at (0.000, 0.000, 0.176), Rh at (0.000, 0.250, 0.339), Rh at (0.000, 0.500, 0.141) and Rh at (0.000, 0.500, 0.500).

---

[3]
CoIrRh2 | PBE | optimized geometry

The calculation puts the energy above the lowest structure with this stoichiometry at 15 meV/atom. The value obtained for the formation energy from the elements is 0.15 eV per formula unit.

The structure belongs to space group Cmmm (No. 65); the cell edges are 5.351, 7.586 and 2.698 Å and the angles 90.00°, 90.00° and 90.00°. The asymmetric unit holds Co at (0.000, 0.000, 0.000), Ir at (0.000, 0.500, 0.000) and Rh at (0.250, 0.250, 0.500).

---

[4]
Co2IrRh | PBE | optimized geometry

The calculation puts the energy above the lowest structure with this stoichiometry at 19 meV/atom. The value obtained for the formation energy from the elements is 0.25 eV per formula unit.

The structure belongs to space group Pmm2 (No. 25); the cell edges are 2.661, 3.670 and 5.229 Å and the angles 90.00°, 90.00° and 90.00°. The asymmetric unit holds Co at (0.000, 0.000, 0.000), Co at (0.500, 0.500, 0.234), Ir at (0.000, 0.000, 0.479) and Rh at (0.500, 0.500, 0.750).

---

[5]
Co2Ir3Rh2 | PBE | optimized geometry

The value obtained for the formation energy from the elements is 0.16 eV per formula unit.

The structure belongs to space group C2/m (No. 12); the cell edges are 8.845, 2.699 and 7.921 Å and the angles 90.00°, 95.45° and 90.00°. The asymmetric unit holds Co at (0.069, 0.000, 0.285), Ir at (0.000, 0.500, 0.000), Ir at (0.140, 0.500, 0.565) and Rh at (0.216, 0.000, 0.853).

---

[6]
Co3Ir4Rh | PBE | optimized geometry

The value obtained for the formation energy from the elements is 0.40 eV per formula unit.

The structure belongs to space group Pmma (No. 51); the cell edges are 8.612, 5.380 and 4.557 Å and the angles 90.00°, 90.00° and 90.00°. The asymmetric unit holds Co at (0.000, 0.000, 0.000), Co at (0.250, 0.000, 0.333), Co at (0.250, 0.500, 0.342), Ir at (0.000, 0.245, 0.500), Ir at (0.250, 0.242, 0.842) and Rh at (0.000, 0.500, 0.000).

---

[7]
Co2IrRh | PBE | optimized geometry

The calculation puts the energy above the lowest structure with this stoichiometry at 0 meV/atom. The value obtained for the formation energy from the elements is 0.18 eV per formula unit.

The structure belongs to space group I-4m2 (No. 119); the cell edges are 3.680, 3.680 and 7.483 Å and the angles 90.00°, 90.00° and 90.00°. The asymmetric unit holds Co at (0.000, 0.000, 0.000), Co at (0.000, 0.500, 0.250), Ir at (0.000, 0.500, 0.750) and Rh at (0.000, 0.000, 0.500).

---

[8]
Co2IrRh | PBE | optimized geometry

The calculation puts the energy above the lowest structure with this stoichiometry at 189 meV/atom. The value obtained for the formation energy from the elements is 0.94 eV per formula unit.

The structure belongs to space group P2_1/m (No. 11); the cell edges are 3.727, 3.726 and 7.916 Å and the angles 90.00°, 103.67° and 90.00°. The asymmetric unit holds Co at (0.054, 0.250, 0.108), Co at (0.445, 0.250, 0.890), Ir at (0.332, 0.750, 0.666) and Rh at (0.172, 0.750, 0.342).

---

[9]
Co5Ir2Rh | PBE | optimized geometry

The value obtained for the formation energy from the elements is 0.98 eV per formula unit.

The structure belongs to space group Immm (No. 71); the cell edges are 2.621, 7.957 and 9.741 Å and the angles 90.00°, 90.00° and 90.00°. The asymmetric unit holds Co at (0.000, 0.000, 0.000), Co at (0.000, 0.274, 0.377), Ir at (0.000, 0.000, 0.256) and Rh at (0.000, 0.500, 0.000).

---

[10]
Co2IrRh | PBE | optimized geometry

The calculation puts the energy above the lowest structure with this stoichiometry at 196 meV/atom. The value obtained for the formation energy from the elements is 0.96 eV per formula unit.

The structure belongs to space group Immm (No. 71); the cell edges are 2.712, 4.517 and 8.714 Å and the angles 90.00°, 90.00° and 90.00°. The asymmetric unit holds Co at (0.000, 0.000, 0.249), Ir at (0.000, 0.500, 0.500) and Rh at (0.000, 0.500, 0.000).

---

[11]
Co2Ir2Rh7 | PBE | optimized geometry

The calculation puts the energy above the lowest structure with this stoichiometry at 135 meV/atom. The value obtained for the formation energy from the elements is 3.67 eV per formula unit.

The structure belongs to space group C2/m (No. 12); the cell edges are 5.281, 8.989 and 6.879 Å and the angles 90.00°, 101.24° and 90.00°. The asymmetric unit holds Co at (0.000, 0.199, 0.000), Ir at (0.038, 0.000, 0.698), Rh at (0.000, 0.500, 0.500), Rh at (0.150, 0.500, 0.890) and Rh at (0.213, 0.260, 0.680).

---

[12]
CoIr2Rh8 | PBE | optimized geometry

The value obtained for the formation energy from the elements is 3.10 eV per formula unit.

The structure belongs to space group Cmmm (No. 65); the cell edges are 7.916, 9.971 and 4.182 Å and the angles 90.00°, 90.00° and 90.00°. The asymmetric unit holds Co at (0.000, 0.000, 0.000), Ir at (0.000, 0.375, 0.500), Rh at (0.000, 0.243, 0.000), Rh at (0.165, 0.132, 0.500) and Rh at (0.170, 0.500, 0.000).